Entry P
An optimized crystal structure of HfTlCd2, computed with PBE-GGA.

Structure (POSCAR):
```
HfTlCd2
1.0
-2.976 0.642 0.983
-2.482 -1.547 -1.297
-0.936 -8.387 7.854
Tl Hf Cd
1 1 2
Cartesian
-3.197 -4.646 3.770
0.000 0.000 0.000
-1.165 -6.293 5.792
-5.229 -3.000 1.748
```

**Fermi-level density of states**: 2.27 states/eV/f.u.
**Space-group type**: R-3m (166)

=====

Entry Q
An optimized crystal structure of HfTlCd2, computed with PBE-GGA.

Structure (POSCAR):
```
HfTlCd2
1.0
0.000 3.615 3.615
3.615 0.000 3.615
3.615 3.615 0.000
Tl Hf Cd
1 1 2
Cartesian
3.615 3.615 3.615
0.000 0.000 0.000
1.807 1.807 1.807
5.422 5.422 5.422
```

**Fermi-level density of states**: 5.12 states/eV/f.u.
**Space-group type**: Fm-3m (225)

=====

Entry R
An optimized crystal structure of HfTlCd2, computed with PBE-GGA.

Structure (POSCAR):
```
HfTlCd2
1.0
3.228 0.000 0.000
1.614 2.795 0.000
1.614 0.932 10.503
Hf Tl Cd
1 1 2
Cartesian
3.228 1.864 5.245
3.228 1.864 0.004
1.614 0.932 7.757
1.614 0.932 2.748
```

**Fermi-level density of states**: 2.59 states/eV/f.u.
**Space-group type**: R3m (160)

=====

Entry S
An optimized crystal structure of HfTlCd2, computed with PBE-GGA.

Structure (POSCAR):
```
HfTlCd2
1.0
-2.284 2.215 0.548
-1.083 -0.370 -3.019
-5.637 -6.508 2.819
Tl Hf Cd
1 1 2
Cartesian
-4.502 -2.331 0.174
-1.683 0.923 -1.235
-4.338 -5.010 2.170
-1.298 -1.499 0.649
```

**Fermi-level density of states**: 2.67 states/eV/f.u.
**Space-group type**: P4/mmm (123)

=====

Which structure loses on stability? entry P does.

=====

Entry P
An optimized crystal structure of HfTlCd2, computed with PBE-GGA.

Structure (POSCAR):
```
HfTlCd2
1.0
4.565 0.000 0.000
0.000 4.382 0.000
0.000 0.000 4.382
Tl Hf Cd
1 1 2
Cartesian
2.283 2.191 2.191
2.283 0.000 0.000
0.000 0.000 2.191
0.000 2.191 0.000
```

**Fermi-level density of states**: 1.61 states/eV/f.u.
**Space-group type**: P4/mmm (123)

=====

Entry Q
An optimized crystal structure of HfTlCd2, computed with PBE-GGA.

Structure (POSCAR):
```
HfTlCd2
1.0
-1.242 -7.961 1.041
-0.315 -1.004 -8.055
2.176 -4.951 -3.565
Tl Hf Cd
2 2 4
Cartesian
0.000 0.000 0.000
0.078 -8.697 -3.016
-0.778 -4.482 -3.507
0.541 -5.218 -7.564
-0.274 -6.355 -1.245
0.194 -2.844 -5.798
1.049 -7.073 -5.287
0.269 -11.559 -8.828
```

**Fermi-level density of states**: 4.39 states/eV/f.u.
**Space-group type**: I-42d (122)

=====

Which structure loses on stability? entry Q does.

=====

Entry P
An optimized crystal structure of HfTl3Cd, computed with PBE-GGA.

Structure (POSCAR):
```
HfTl3Cd
1.0
-1.058 1.862 -5.290
4.626 -2.753 -1.895
-3.170 -4.639 -0.999
Tl Hf Cd
3 1 1
Cartesian
2.313 -1.376 -0.947
-1.585 -2.320 -0.500
-0.529 0.931 -2.645
0.000 0.000 0.000
0.199 -2.765 -4.092
```

**Fermi-level density of states**: 4.52 states/eV/f.u.
**Space-group type**: Pm-3m (221)

=====

Entry Q
An optimized crystal structure of HfTl3Cd, computed with PBE-GGA.

Structure (POSCAR):
```
HfTl3Cd
1.0
5.469 0.000 0.000
0.000 5.469 0.000
0.000 0.000 5.469
Tl Hf Cd
3 1 1
Cartesian
0.000 2.734 0.000
0.000 0.000 2.734
2.734 0.000 0.000
2.734 2.734 2.734
0.000 0.000 0.000
```

**Fermi-level density of states**: 5.75 states/eV/f.u.
**Space-group type**: Pm-3m (221)

=====

Which structure loses on stability? entry Q does.

=====

Entry P
An optimized crystal structure of HfZrTlCd, computed with PBE-GGA.

Structure (POSCAR):
```
HfZrTlCd
1.0
-4.068 1.658 -0.488
-0.945 -3.182 -2.938
-1.469 -2.627 3.317
Hf Zr Tl Cd
1 1 1 1
Cartesian
-2.506 -0.762 -1.713
-2.768 -0.484 1.415
-1.207 -2.905 0.190
0.000 0.000 0.000
```

**Fermi-level density of states**: 3.02 states/eV/f.u.
**Space-group type**: Pmmm (47)

=====

Entry Q
An optimized crystal structure of HfZrTlCd, computed with PBE-GGA.

Structure (POSCAR):
```
HfZrTlCd
1.0
5.007 0.000 0.000
2.504 4.337 0.000
2.504 1.446 4.089
Tl Hf Zr Cd
1 1 1 1
Cartesian
2.504 1.446 1.022
0.000 0.000 0.000
5.007 2.891 2.044
7.511 4.337 3.066
```

**Fermi-level density of states**: 4.91 states/eV/f.u.
**Space-group type**: F-43m (216)

=====

Which structure loses on stability? entry Q does.

=====

Entry P
An optimized crystal structure of HfV3Cd, computed with PBE-GGA.

Structure (POSCAR):
```
HfV3Cd
1.0
4.705 0.000 0.000
0.000 4.705 0.000
0.000 0.000 4.705
Cd Hf V
1 1 3
Cartesian
2.352 2.352 2.352
0.000 0.000 0.000
0.000 2.352 0.000
0.000 0.000 2.352
2.352 0.000 0.000
```

**Fermi-level density of states**: 6.12 states/eV/f.u.
**Space-group type**: Pm-3m (221)

=====

Entry Q
An optimized crystal structure of HfV3Cd, computed with PBE-GGA.

Structure (POSCAR):
```
HfV3Cd
1.0
-0.963 1.059 -4.633
-4.706 -0.872 0.778
-0.663 4.651 1.201
Cd Hf V
1 1 3
Cartesian
0.000 0.000 0.000
-3.166 2.419 -1.327
-2.353 -0.436 0.389
-0.332 2.325 0.600
-0.481 0.530 -2.317
```

**Fermi-level density of states**: 9.71 states/eV/f.u.
**Space-group type**: Pm-3m (221)

=====

Which structure loses on stability? entry Q does.

=====

Entry P
An optimized crystal structure of Hf2CdW2, computed with PBE-GGA.

Structure (POSCAR):
```
Hf2CdW2
1.0
-3.079 -0.404 2.108
-1.229 -2.691 -2.311
1.447 -6.838 4.144
Hf W Cd
2 2 1
Cartesian
-1.375 -2.693 0.817
-1.487 -7.240 3.123
-1.893 -4.395 3.075
-0.968 -5.538 0.866
0.000 0.000 0.000
```

**Fermi-level density of states**: 4.87 states/eV/f.u.
**Space-group type**: I4/mmm (139)

=====

Entry Q
An optimized crystal structure of Hf2CdW2, computed with PBE-GGA.

Structure (POSCAR):
```
Hf2CdW2
1.0
-1.769 0.159 -7.431
-5.260 -5.423 1.136
-2.368 2.425 0.616
Hf W Cd
4 4 2
Cartesian
-5.156 -4.603 -1.694
-4.890 -3.338 -5.657
-1.873 -0.661 -4.601
-2.139 -1.926 -0.637
-4.893 -2.307 -0.091
-6.792 -3.274 -3.587
-4.503 -0.532 -5.588
-2.604 0.435 -2.092
0.000 0.000 0.000
-3.514 -2.632 -3.147
```

**Fermi-level density of states**: 2.98 states/eV/f.u.
**Space-group type**: P4/mbm (127)

=====

Which structure loses on stability? entry Q does.